# KHoCrO4, optimized geometry, DFT GGA+U
data_KHoCrO4
_space_group_name_H-M_alt 'P 1'
_space_group_IT_number 1
_space_group_name_Hall 'P 1'
_cell_length_a 5.8191
_cell_length_b 5.8636
_cell_length_c 7.3923
_cell_angle_alpha 90.00
_cell_angle_beta 108.28
_cell_angle_gamma 90.00
loop_
_atom_site_label
_atom_site_fract_x
_atom_site_fract_y
_atom_site_fract_z
K1 0.6967 0.7500 0.9336
K2 0.3033 0.2500 0.0664
Ho1 0.8097 0.7500 0.4595
Ho2 0.1903 0.2500 0.5405
Cr1 0.2682 0.7500 0.3359
Cr2 0.7318 0.2500 0.6641
O1 0.9567 0.4765 0.6773
O2 0.0433 0.9765 0.3227
O3 0.0433 0.5235 0.3227
O4 0.9567 0.0235 0.6773
O5 0.4646 0.7500 0.1948
O6 0.5354 0.2500 0.8052
O7 0.4757 0.7500 0.5675
O8 0.5243 0.2500 0.4325
# * symmetry: P2_1/m (11)
# * size of the total moment: 4.000 μB per cell
# * total energy: -0.5149 Ry per atom